[1]
Compound: ScAlSiMo2
Source: Alexandria via LeMat-Bulk
Functional: PBE
Structure: optimized geometry

a b c (Å): 4.618 4.890 4.618
angles (deg): 90.00 90.00 90.00
Each line ends with the local moment (μB).
Element x y z (fractional)
Sc 0.000 0.000 0.000  0.04
Mo 0.000 0.000 0.500  0.53
Mo 0.500 0.000 0.000  0.75
Si 0.500 0.500 0.500  -0.01
Al 0.000 0.500 0.000  -0.01

Properties
The value obtained for the uncorrected formation energy is 179 kJ/mol of atoms. As for the space group: P4/mmm, No. 123.



[2]
Compound: ScAlTcMo
Source: Alexandria via LeMat-Bulk
Functional: PBE
Structure: optimized geometry

a b c (Å): 4.513 4.513 4.513
angles (deg): 60.00 60.00 60.00
Element x y z (fractional)
Sc 0.000 0.000 0.000
Mo 0.500 0.500 0.500
Tc 0.750 0.750 0.750
Al 0.250 0.250 0.250

Properties
As for the space group: F-43m, No. 216. The value obtained for the energy relative to the elements is -0.219 eV/atom.



[3]
Compound: ScTiAlMo
Source: Alexandria via LeMat-Bulk
Functional: PBE
Structure: optimized geometry

a b c (Å): 4.603 4.603 4.603
angles (deg): 60.00 60.00 60.00
Element x y z (fractional)
Sc 0.250 0.250 0.250
Mo 0.500 0.500 0.500
Al 0.000 0.000 0.000
Ti 0.750 0.750 0.750

Properties
As for the space group: F-43m, No. 216. The value obtained for the energy relative to the elements is -0.214 eV/atom.



[4]
Compound: TmScAlMo
Source: Alexandria via LeMat-Bulk
Functional: PBE
Structure: optimized geometry

a b c (Å): 4.847 4.847 4.847
angles (deg): 60.00 60.00 60.00
Element x y z (fractional)
Sc 0.000 0.000 0.000
Mo 0.750 0.750 0.750
Tm 0.500 0.500 0.500
Al 0.250 0.250 0.250

Properties
As for the space group: F-43m, No. 216. The value obtained for the energy relative to the elements is -0.023 eV/atom.



Across the entries above, Fermi-level density of states takes the values 1.39 0.87 0.50 1.32 states/eV per atom, respectively.